Below is a PBEsol-optimized structure of CrCo2TcP, with properties calculated at the meta-GGA SCAN level.

The structure in CIF format:
```
data_CrCo2TcP
_symmetry_space_group_name_H-M 'P 4/m m m'
_symmetry_Int_Tables_number 123
_symmetry_space_group_name_Hall '-P 4 2'
_cell_length_a 3.999
_cell_length_b 3.999
_cell_length_c 4.160
_cell_angle_alpha 90.00
_cell_angle_beta 90.00
_cell_angle_gamma 90.00
loop_
_atom_site_label
_atom_site_type_symbol
_atom_site_fract_x
_atom_site_fract_y
_atom_site_fract_z
Cr1 Cr 0.000 0.000 0.000
Co1 Co 0.000 0.500 0.500
Tc1 Tc 0.500 0.500 0.000
P1 P 0.000 0.000 0.500
```

## Properties
As for the formation energy: 2.90 eV per formula unit. As for the total energy: -19.11 eV per atom. For the mass density, the calculation gives 7.46 g/cm3. For the density of states at the Fermi level, the calculation gives 0.410 states/eV/atom.